Below is crystalline In2NiTe at its relaxed geometry, with properties calculated at the PBE level.

Structure (CIF):
```
data_In2NiTe
_symmetry_space_group_name_H-M 'P 1'
_symmetry_Int_Tables_number 1
_cell_length_a 6.289
_cell_length_b 6.289
_cell_length_c 6.289
_cell_angle_alpha 142.09
_cell_angle_beta 142.09
_cell_angle_gamma 54.69
loop_
_symmetry_equiv_pos_as_xyz
'x,y,z'
loop_
_atom_site_label
_atom_site_type_symbol
_atom_site_fract_x
_atom_site_fract_y
_atom_site_fract_z
In1 In 0.250 0.750 0.500
In2 In 0.750 0.250 0.500
Ni1 Ni 0.000 0.000 0.000
Te1 Te 0.500 0.500 0.000
```

Uncorrected energy in eV per atom: -3.352
Space group: No. 139
DOS(E_F) in states/eV per atom: 0.630
Formation energy without anion corrections in eV/atom: 0.248